24
Lattice="8.418 0.000 0.000 -4.209 7.290 0.000 0.000 0.000 13.497" Properties=species:S:1:pos:R:3 comment="Pa3PbSe8 PBE optimized geometry" dft_energy_ev_per_atom=-6.19 density_g_cm3=6.1 formation_energy_uncorrected_mev_per_atom=-1184 pbc="T T T"
Pa 0.000 2.424 0.000
Pa -2.110 6.078 0.000
Pa 2.100 1.212 6.748
Pa 2.110 6.078 0.000
Pa 6.319 1.212 6.748
Pa 4.209 4.866 6.748
Pb 0.000 4.860 3.385
Pb 4.209 2.430 10.134
Se 0.000 0.000 1.516
Se 0.000 0.000 8.265
Se -1.996 3.708 1.525
Se 0.000 2.266 5.289
Se -2.246 6.157 5.289
Se 1.963 1.133 12.037
Se 0.000 4.860 11.993
Se 1.996 3.708 1.525
Se 0.000 7.165 1.525
Se 4.209 0.126 8.274
Se 2.213 3.582 8.274
Se 4.209 2.430 5.245
Se 2.246 6.157 5.289
Se 6.455 1.133 12.037
Se 4.209 5.024 12.037
Se 6.205 3.582 8.274


80
Lattice="-8.540 8.540 8.540 8.540 -8.540 8.540 8.540 8.540 -8.540" Properties=species:S:1:pos:R:3 comment="Pa3Pb5Se12 PBE optimized geometry" dft_energy_ev_per_atom=-5.12 density_g_cm3=7.1 formation_energy_uncorrected_mev_per_atom=-680 pbc="T T T"
Pa 4.270 2.135 0.000
Pa 8.540 4.270 -2.135
Pa 2.135 0.000 4.270
Pa 10.674 0.000 4.270
Pa 0.000 4.270 2.135
Pa 4.270 -2.135 8.540
Pa 4.270 10.674 0.000
Pa 8.540 4.270 6.405
Pa -2.135 8.540 4.270
Pa 6.405 8.540 4.270
Pa 0.000 4.270 10.674
Pa 4.270 6.405 8.540
Pb 0.000 0.000 0.000
Pb 4.270 4.270 -4.270
Pb 4.270 -4.270 4.270
Pb 8.540 0.000 0.000
Pb 12.809 2.135 0.000
Pb 8.540 -4.270 6.405
Pb 6.405 8.540 -4.270
Pb 6.405 0.000 4.270
Pb 4.270 6.405 0.000
Pb 8.540 4.270 2.135
Pb -4.270 4.270 4.270
Pb 0.000 8.540 0.000
Pb 0.000 0.000 8.540
Pb 4.270 4.270 4.270
Pb 0.000 4.270 6.405
Pb 4.270 2.135 8.540
Pb 2.135 8.540 4.270
Pb 2.135 0.000 12.809
Pb 0.000 12.809 2.135
Pb -4.270 6.405 8.540
Se 2.659 -0.202 1.292
Se 10.150 5.561 -4.472
Se 8.337 -1.292 2.659
Se 13.012 -1.610 2.978
Se 11.199 0.202 1.292
Se 10.150 -2.978 4.472
Se 1.292 2.659 -0.202
Se 11.518 4.067 -1.610
Se 5.561 4.472 -1.610
Se 7.248 2.659 0.202
Se -0.202 1.292 2.659
Se 4.472 -1.610 5.561
Se 8.337 7.248 -2.659
Se 4.472 1.610 2.978
Se 7.248 -2.659 8.337
Se 5.561 -4.472 10.150
Se 2.978 4.472 1.610
Se 9.831 5.880 0.202
Se 2.659 8.337 -1.292
Se 10.150 2.978 4.067
Se 4.472 10.150 -2.978
Se 8.337 1.292 5.880
Se 1.610 2.978 4.472
Se 2.659 0.202 7.248
Se 5.880 8.337 1.292
Se 6.929 5.561 4.067
Se 0.202 7.248 2.659
Se 4.067 -1.610 11.518
Se -1.610 5.561 4.472
Se 5.880 0.202 9.831
Se -1.292 2.659 8.337
Se 5.561 4.067 6.929
Se 2.978 13.012 -1.610
Se 1.292 11.199 0.202
Se 4.067 6.929 5.561
Se 0.202 1.292 11.199
Se 4.067 10.150 2.978
Se 8.742 7.248 5.880
Se 1.292 5.880 8.337
Se 2.978 4.067 10.150
Se -2.978 4.472 10.150
Se 7.248 5.880 8.742
Se -1.610 11.518 4.067
Se -2.659 8.337 7.248
Se -4.472 10.150 5.561
Se 0.202 9.831 5.880
Se -1.610 2.978 13.012
Se 5.880 8.742 7.248


10
Lattice="8.542 0.000 0.000 0.000 3.845 0.000 -2.306 0.000 9.955" Properties=species:S:1:pos:R:3 comment="PaPbSe3 PBE optimized geometry" dft_energy_ev_per_atom=-5.74 de_polymorph_ev_per_atom=0.006 density_g_cm3=6.9 formation_energy_uncorrected_mev_per_atom=-1010 pbc="T T T"
Pa 0.907 0.961 1.824
Pa 5.329 2.884 8.131
Pb 1.057 2.884 5.285
Pb 5.179 0.961 4.670
Se -1.498 0.961 6.860
Se -0.797 2.884 9.771
Se 2.763 2.884 2.975
Se 3.473 0.961 6.980
Se 7.033 0.961 0.184
Se 7.734 2.884 3.095


4
Lattice="3.528 0.000 0.000 0.000 3.528 0.000 0.000 0.000 8.119" Properties=species:S:1:pos:R:3 comment="PaPbSe2 PBE optimized geometry" dft_energy_ev_per_atom=-5.88 density_g_cm3=9.8 formation_energy_uncorrected_mev_per_atom=-837 pbc="T T T"
Pa 0.000 0.000 0.000
Pb 0.000 0.000 4.059
Se 1.764 1.764 1.622
Se 1.764 1.764 6.496


20
Lattice="10.419 0.000 0.000 0.000 4.189 0.000 0.000 0.000 14.757" Properties=species:S:1:pos:R:3 comment="PaPbSe3 PBE optimized geometry" dft_energy_ev_per_atom=-5.75 de_polymorph_ev_per_atom=0.000 density_g_cm3=7.0 formation_energy_uncorrected_mev_per_atom=-1015 pbc="T T T"
Pa 1.720 1.047 0.646
Pa 3.489 3.142 8.024
Pa 6.929 1.047 6.733
Pa 8.698 3.142 14.111
Pb 0.414 1.047 9.682
Pb 4.795 3.142 2.304
Pb 5.623 1.047 12.453
Pb 10.004 3.142 5.075
Se 0.027 3.142 1.630
Se 1.771 1.047 7.057
Se 2.207 3.142 10.515
Se 3.002 1.047 3.137
Se 3.438 3.142 14.436
Se 5.183 1.047 9.009
Se 5.236 3.142 5.748
Se 6.980 1.047 0.321
Se 7.416 3.142 11.620
Se 8.211 1.047 4.242
Se 8.647 3.142 7.700
Se 10.392 1.047 13.127


6
Lattice="-2.104 2.104 8.739 2.104 -2.104 8.739 2.104 2.104 -8.739" Properties=species:S:1:pos:R:3 comment="PaPbSe PBE optimized geometry" dft_energy_ev_per_atom=-6.26 de_polymorph_ev_per_atom=0.000 density_g_cm3=11.1 formation_energy_uncorrected_mev_per_atom=-692 pbc="T T T"
Pa 0.000 0.000 2.653
Pa 0.000 0.000 14.825
Pb 2.104 0.000 0.000
Pb 0.000 2.104 0.000
Se 0.000 0.000 5.566
Se 0.000 0.000 11.913


10
Lattice="3.761 2.171 6.512 -3.761 2.171 6.512 0.000 -4.343 6.512" Properties=species:S:1:pos:R:3 comment="SmPaPb2Se6 PBE optimized geometry" dft_energy_ev_per_atom=-5.38 density_g_cm3=6.6 formation_energy_uncorrected_mev_per_atom=-1131 pbc="T T T"
Sm 0.000 0.000 0.000
Pa 0.000 0.000 9.715
Pb 0.000 0.000 5.828
Pb 0.000 0.000 15.658
Se -2.197 0.227 7.996
Se -1.463 -1.828 11.207
Se 0.902 -2.016 7.996
Se -0.851 2.181 11.207
Se 1.295 1.789 7.996
Se 2.315 -0.353 11.207


10
Lattice="3.745 2.162 6.467 -3.745 2.162 6.467 0.000 -4.324 6.467" Properties=species:S:1:pos:R:3 comment="TbPaPb2Se6 PBE optimized geometry" dft_energy_ev_per_atom=-5.38 density_g_cm3=6.8 formation_energy_uncorrected_mev_per_atom=-1133 pbc="T T T"
Tb 0.000 0.000 0.000
Pa 0.000 0.000 9.661
Pb 0.000 0.000 5.791
Pb 0.000 0.000 15.543
Se -2.198 0.271 7.953
Se -1.480 -1.805 11.162
Se 0.865 -2.039 7.953
Se -0.823 2.184 11.162
Se 1.334 1.768 7.953
Se 2.303 -0.379 11.162


12
Lattice="3.799 -6.539 0.000 3.799 6.539 0.000 -2.495 0.000 7.583" Properties=species:S:1:pos:R:3 comment="PaTl3Pb2Se6 PBE optimized geometry" dft_energy_ev_per_atom=-4.55 density_g_cm3=7.6 formation_energy_uncorrected_mev_per_atom=-803 pbc="T T T"
Pa 0.000 0.000 0.000
Tl 2.552 4.326 3.791
Tl 2.552 0.000 3.791
Tl 2.552 -4.326 3.791
Pb 3.799 2.176 0.000
Pb 3.799 -2.176 0.000
Se 1.161 1.987 1.592
Se -0.206 0.000 5.936
Se 1.161 -1.987 1.592
Se 3.943 1.987 5.991
Se 5.309 0.000 1.647
Se 3.943 -1.987 5.991


8
Lattice="7.578 0.000 0.000 0.000 4.292 0.000 -2.401 0.000 7.691" Properties=species:S:1:pos:R:3 comment="PaTl2PbSe4 PBE optimized geometry" dft_energy_ev_per_atom=-4.82 density_g_cm3=7.7 formation_energy_uncorrected_mev_per_atom=-834 pbc="T T T"
Pa 0.000 0.000 0.000
Tl -1.201 2.146 3.846
Tl 2.588 0.000 3.846
Pb 3.789 2.146 0.000
Se 1.150 2.146 1.590
Se -0.089 0.000 6.054
Se 5.266 0.000 1.637
Se 4.027 2.146 6.102


4
Lattice="3.433 0.000 0.000 0.000 3.433 0.000 0.000 0.000 8.174" Properties=species:S:1:pos:R:3 comment="Pa2SiPb PBE optimized geometry" dft_energy_ev_per_atom=-7.19 de_polymorph_ev_per_atom=0.000 density_g_cm3=12.0 formation_energy_uncorrected_mev_per_atom=-156 pbc="T T T"
Pa 0.000 0.000 1.674
Pa 0.000 0.000 6.499
Si 1.717 1.717 0.000
Pb 1.717 1.717 4.087


4
Lattice="2.095 1.210 7.177 -2.095 1.210 7.177 0.000 -2.419 7.177" Properties=species:S:1:pos:R:3 comment="Pa2SiPb PBE optimized geometry" dft_energy_ev_per_atom=-7.10 de_polymorph_ev_per_atom=0.091 density_g_cm3=10.6 formation_energy_uncorrected_mev_per_atom=-65 pbc="T T T"
Pa 0.000 0.000 5.131
Pa 0.000 0.000 16.398
Si 0.000 0.000 10.765
Pb 0.000 0.000 0.000


4
Lattice="1.642 0.948 12.398 -1.642 0.948 12.398 0.000 -1.895 12.398" Properties=species:S:1:pos:R:3 comment="SmPa2Pb PBE optimized geometry" dft_energy_ev_per_atom=-6.49 density_g_cm3=11.8 formation_energy_ev_per_atom=0.3639 pbc="T T T"
Sm 0.000 0.000 0.000
Pa 0.000 0.000 15.343
Pa 0.000 0.000 21.849
Pb 0.000 0.000 18.596


4
Lattice="0.000 3.832 3.832 3.832 0.000 3.832 3.832 3.832 0.000" Properties=species:S:1:pos:R:3 comment="SmPaSnPb PBE optimized geometry" dft_energy_ev_per_atom=-5.66 density_g_cm3=10.4 formation_energy_ev_per_atom=-0.1748 pbc="T T T"
Sm 0.000 0.000 0.000
Pa 3.832 3.832 3.832
Sn 1.916 1.916 1.916
Pb 5.748 5.748 5.748


4
Lattice="4.727 0.000 0.000 0.000 4.727 0.000 0.000 0.000 4.829" Properties=species:S:1:pos:R:3 comment="PaSnPb2 PBE optimized geometry" dft_energy_ev_per_atom=-5.33 de_polymorph_ev_per_atom=0.000 density_g_cm3=11.8 formation_energy_ev_per_atom=-0.0969 pbc="T T T"
Pa 0.000 0.000 0.000
Sn 2.364 2.364 0.000
Pb 0.000 2.364 2.414
Pb 2.364 0.000 2.414


4
Lattice="4.729 0.000 0.000 0.000 4.729 0.000 0.000 0.000 4.656" Properties=species:S:1:pos:R:3 comment="PaSn2Pb PBE optimized geometry" dft_energy_ev_per_atom=-5.50 de_polymorph_ev_per_atom=0.000 density_g_cm3=10.8 formation_energy_ev_per_atom=-0.1942 pbc="T T T"
Pa 0.000 0.000 0.000
Sn 0.000 2.364 2.328
Sn 2.364 0.000 2.328
Pb 2.364 2.364 0.000


4
Lattice="4.092 0.000 0.000 0.000 4.092 0.000 0.000 0.000 6.502" Properties=species:S:1:pos:R:3 comment="PaSn2Pb PBE optimized geometry" dft_energy_ev_per_atom=-5.37 de_polymorph_ev_per_atom=0.128 density_g_cm3=10.3 formation_energy_ev_per_atom=-0.0663 pbc="T T T"
Pa 0.000 0.000 0.000
Sn 2.046 2.046 1.562
Sn 2.046 2.046 4.940
Pb 0.000 0.000 3.251


4
Lattice="4.145 0.000 0.000 0.000 4.145 0.000 0.000 0.000 6.520" Properties=species:S:1:pos:R:3 comment="PaSnPb2 PBE optimized geometry" dft_energy_ev_per_atom=-5.15 de_polymorph_ev_per_atom=0.176 density_g_cm3=11.3 formation_energy_ev_per_atom=0.0789 pbc="T T T"
Pa 0.000 0.000 0.000
Sn 0.000 0.000 3.260
Pb 2.073 2.073 1.619
Pb 2.073 2.073 4.901


4
Lattice="0.000 3.783 3.783 3.783 0.000 3.783 3.783 3.783 0.000" Properties=species:S:1:pos:R:3 comment="Pa2SnPb PBE optimized geometry" dft_energy_ev_per_atom=-6.58 de_polymorph_ev_per_atom=0.096 density_g_cm3=12.1 formation_energy_ev_per_atom=0.0911 pbc="T T T"
Pa 1.892 1.892 1.892
Pa 5.675 5.675 5.675
Sn 0.000 0.000 0.000
Pb 3.783 3.783 3.783


4
Lattice="1.658 0.957 12.380 -1.658 0.957 12.380 0.000 -1.915 12.380" Properties=species:S:1:pos:R:3 comment="PaSnPb2 PBE optimized geometry" dft_energy_ev_per_atom=-4.89 de_polymorph_ev_per_atom=0.433 density_g_cm3=10.8 formation_energy_ev_per_atom=0.3364 pbc="T T T"
Pa 0.000 0.000 0.000
Sn 0.000 0.000 18.570
Pb 0.000 0.000 3.303
Pb 0.000 0.000 33.838